BaHf3Cr: relaxed, PBE.

Calculated values
calculated total energy	-5.995	eV per atom
Fermi-level density of states	1.519	states/eV per atom
space group	Pm-3m
magnetization	0.632	μB per atom

POSCAR file:
```
BaHf3Cr
1.0
5.253 0.000 0.000
0.000 5.253 0.000
0.000 0.000 5.253
Ba Hf Cr
1 3 1
direct
0.000 0.000 0.000
0.000 0.000 0.500
0.000 0.500 0.000
0.500 0.000 0.000
0.500 0.500 0.500
```

---

Ac2PmTe5Au: relaxed, PBE.

Calculated values
calculated total energy	-4.869	eV per atom
Fermi-level density of states	0.011	states/eV per atom
space group	Cmc2_1
uncorrected formation energy	-1.319	eV per atom
magnetization	0.000	μB per atom

POSCAR file:
```
Ac2PmTe5Au
1.0
2.266 -9.855 0.000
2.266 9.855 0.000
0.000 0.000 13.552
Ac Pm Te Au
4 2 10 2
direct
0.114 0.886 0.500
0.123 0.877 0.124
0.877 0.123 0.624
0.886 0.114 0.000
0.189 0.811 0.822
0.811 0.189 0.322
0.040 0.960 0.878
0.290 0.710 0.483
0.306 0.694 0.156
0.354 0.646 0.814
0.500 0.500 0.089
0.500 0.500 0.589
0.646 0.354 0.314
0.694 0.306 0.656
0.710 0.290 0.983
0.960 0.040 0.378
0.428 0.572 0.269
0.572 0.428 0.769
```